A relaxed structure of NaCaCdSn, computed with PBE.

Results
- calculated total energy (eV/atom) = -2.38
- formation energy from the elements (eV/f.u.) = -1.3
- spin magnetization (μB per cell) = 0.0

abc: 5.339 5.339 5.339
angles: 60.00 60.00 60.00
Sites, in units of the cell vectors:
Na 0.000 0.000 0.000
Ca 0.500 0.500 0.500
Sn 0.250 0.250 0.250
Cd 0.750 0.750 0.750



A relaxed structure of Na2CaCd2Sn2, computed with PBE.

Results
- calculated total energy (eV/atom) = -2.38
- formation energy from the elements (eV/f.u.) = -2.2
- spin magnetization (μB per cell) = 0.0

abc: 4.978 4.978 9.551
angles: 74.89 74.89 60.00
Sites, in units of the cell vectors:
Na 0.135 0.135 0.595
Na 0.865 0.865 0.405
Ca 0.000 0.000 0.000
Cd 0.607 0.607 0.178
Cd 0.393 0.393 0.822
Sn 0.741 0.741 0.776
Sn 0.259 0.259 0.224



A relaxed structure of NaCa2Cd2Sn2, computed with PBE.

Results
- calculated total energy (eV/atom) = -2.47
- formation energy from the elements (eV/f.u.) = -2.2
- spin magnetization (μB per cell) = 0.0

abc: 5.019 5.019 9.742
angles: 75.07 75.07 60.00
Sites, in units of the cell vectors:
Na 0.000 0.000 0.000
Ca 0.129 0.129 0.614
Ca 0.871 0.871 0.386
Cd 0.599 0.599 0.203
Cd 0.401 0.401 0.797
Sn 0.746 0.746 0.762
Sn 0.254 0.254 0.238



A relaxed structure of NaSr2CaCd, computed with PBE.

Results
- calculated total energy (eV/atom) = -1.51
- formation energy from the elements (eV/f.u.) = 0.1
- spin magnetization (μB per cell) = 0.0

abc: 6.376 6.376 6.092
angles: 90.00 90.00 90.00
Sites, in units of the cell vectors:
Sr 0.000 0.500 0.000
Sr 0.500 0.000 0.000
Ca 0.000 0.000 0.500
Na 0.500 0.500 0.500
Cd 0.000 0.000 0.000



A relaxed structure of NaSrCaCd, computed with PBE.

Results
- calculated total energy (eV/atom) = -1.64
- formation energy from the elements (eV/f.u.) = -0.7
- spin magnetization (μB per cell) = 0.0

abc: 3.948 3.948 9.350
angles: 90.00 90.00 90.00
Sites, in units of the cell vectors:
Na 0.000 0.000 0.087
Sr 0.500 0.500 0.779
Ca 0.500 0.500 0.364
Cd 0.000 0.000 0.555



A relaxed structure of Na2CaCdTc, computed with PBE.

Results
- calculated total energy (eV/atom) = -2.35
- formation energy from the elements (eV/f.u.) = 4.1
- spin magnetization (μB per cell) = 2.2

abc: 5.441 5.306 5.441
angles: 90.00 90.00 90.00
Sites, in units of the cell vectors:
Na 0.000 0.000 0.500
Na 0.500 0.000 0.000
Ca 0.500 0.500 0.500
Tc 0.000 0.000 0.000
Cd 0.000 0.500 0.000



A relaxed structure of NaCa2TiCd, computed with PBE.

Results
- calculated total energy (eV/atom) = -1.89
- formation energy from the elements (eV/f.u.) = 4.7
- spin magnetization (μB per cell) = 0.0

abc: 5.574 5.119 5.574
angles: 90.00 90.00 90.00
Sites, in units of the cell vectors:
Na 0.000 0.000 0.000
Ca 0.000 0.000 0.500
Ca 0.500 0.000 0.000
Ti 0.500 0.500 0.500
Cd 0.000 0.500 0.000



A relaxed structure of NaCaTiCd2, computed with PBE.

Results
- calculated total energy (eV/atom) = -2.09
- formation energy from the elements (eV/f.u.) = 2.6
- spin magnetization (μB per cell) = 2.5

abc: 5.457 5.583 5.457
angles: 90.00 90.00 90.00
Sites, in units of the cell vectors:
Na 0.500 0.500 0.500
Ca 0.000 0.500 0.000
Ti 0.000 0.000 0.000
Cd 0.000 0.000 0.500
Cd 0.500 0.000 0.000



A relaxed structure of NaCaTl2Cd, computed with PBE.

Results
- calculated total energy (eV/atom) = -1.93
- formation energy from the elements (eV/f.u.) = -0.7
- spin magnetization (μB per cell) = 0.0

abc: 7.161 5.892 6.915
angles: 90.00 90.00 90.00
Sites, in units of the cell vectors:
Na 0.622 0.750 0.000
Na 0.378 0.250 0.000
Ca 0.187 0.250 0.500
Ca 0.813 0.750 0.500
Tl 0.718 0.250 0.726
Tl 0.718 0.250 0.274
Tl 0.282 0.750 0.726
Tl 0.282 0.750 0.274
Cd 0.000 0.000 0.000
Cd 0.000 0.500 0.000



A relaxed structure of NaCaTl3Cd, computed with PBE.

Results
- calculated total energy (eV/atom) = -2.07
- formation energy from the elements (eV/f.u.) = -1.1
- spin magnetization (μB per cell) = 0.0

abc: 5.010 7.476 9.544
angles: 104.29 90.00 90.00
Sites, in units of the cell vectors:
Na 0.250 0.687 0.107
Na 0.750 0.313 0.893
Ca 0.250 0.209 0.296
Ca 0.750 0.791 0.704
Tl 0.750 0.999 0.093
Tl 0.250 0.001 0.907
Tl 0.250 0.660 0.457
Tl 0.750 0.340 0.543
Tl 0.750 0.496 0.240
Tl 0.250 0.504 0.760
Cd 0.250 0.077 0.607
Cd 0.750 0.923 0.393



A relaxed structure of NaCa2Tl2Cd2, computed with PBE.

Results
- calculated total energy (eV/atom) = -1.83
- formation energy from the elements (eV/f.u.) = -0.9
- spin magnetization (μB per cell) = 0.0

abc: 5.331 5.331 8.600
angles: 71.94 71.94 60.00
Sites, in units of the cell vectors:
Na 0.000 0.000 0.000
Ca 0.135 0.135 0.594
Ca 0.865 0.865 0.406
Tl 0.725 0.725 0.826
Tl 0.275 0.275 0.174
Cd 0.569 0.569 0.292
Cd 0.431 0.431 0.708



A relaxed structure of NaCaTmCd, computed with PBE.

Results
- calculated total energy (eV/atom) = -2.17
- formation energy from the elements (eV/f.u.) = 0.0
- spin magnetization (μB per cell) = 0.0

abc: 5.455 5.455 5.455
angles: 60.00 60.00 60.00
Sites, in units of the cell vectors:
Na 0.250 0.250 0.250
Ca 0.000 0.000 0.000
Tm 0.500 0.500 0.500
Cd 0.750 0.750 0.750



A relaxed structure of NaCaYCd, computed with PBE.

Results
- calculated total energy (eV/atom) = -2.71
- formation energy from the elements (eV/f.u.) = -0.2
- spin magnetization (μB per cell) = 0.0

abc: 5.490 5.490 5.490
angles: 60.00 60.00 60.00
Sites, in units of the cell vectors:
Y 0.750 0.750 0.750
Na 0.500 0.500 0.500
Ca 0.250 0.250 0.250
Cd 0.000 0.000 0.000



A relaxed structure of NaCaZnCd, computed with PBE.

Results
- calculated total energy (eV/atom) = -1.47
- formation energy from the elements (eV/f.u.) = -0.4
- spin magnetization (μB per cell) = 0.0

abc: 5.270 5.270 5.270
angles: 60.00 60.00 60.00
Sites, in units of the cell vectors:
Na 0.000 0.000 0.000
Zn 0.250 0.250 0.250
Ca 0.500 0.500 0.500
Cd 0.750 0.750 0.750



A relaxed structure of Ca3NbCd, computed with PBE.

Results
- calculated total energy (eV/atom) = -2.58
- offset from the most stable computed form (eV per atom) = 0.022
- formation energy from the elements (eV/f.u.) = 4.1
- spin magnetization (μB per cell) = 4.1

abc: 5.773 5.773 5.773
angles: 90.00 90.00 90.00
Sites, in units of the cell vectors:
Nb 0.500 0.500 0.500
Ca 0.000 0.500 0.000
Ca 0.000 0.000 0.500
Ca 0.500 0.000 0.000
Cd 0.000 0.000 0.000



A relaxed structure of Ca2NbCd, computed with PBE.

Results
- calculated total energy (eV/atom) = -3.08
- offset from the most stable computed form (eV per atom) = 0.250
- formation energy from the elements (eV/f.u.) = 2.7
- spin magnetization (μB per cell) = 6.0

abc: 8.471 8.471 6.777
angles: 51.32 51.32 90.00
Sites, in units of the cell vectors:
Nb 0.500 0.500 0.000
Nb 0.250 0.750 0.500
Ca 0.639 0.125 0.250
Ca 0.111 0.625 0.250
Ca 0.375 0.361 0.750
Ca 0.875 0.889 0.750
Cd 0.000 0.000 0.000
Cd 0.750 0.250 0.500



A relaxed structure of Ca2Nb2Cd, computed with PBE.

Results
- calculated total energy (eV/atom) = -4.34
- offset from the most stable computed form (eV per atom) = 0.302
- formation energy from the elements (eV/f.u.) = 3.3
- spin magnetization (μB per cell) = 0.0

abc: 9.168 9.168 3.398
angles: 90.00 90.00 90.00
Sites, in units of the cell vectors:
Nb 0.086 0.586 0.500
Nb 0.586 0.914 0.500
Nb 0.914 0.414 0.500
Nb 0.414 0.086 0.500
Ca 0.300 0.800 0.000
Ca 0.800 0.700 0.000
Ca 0.700 0.200 0.000
Ca 0.200 0.300 0.000
Cd 0.000 0.000 0.000
Cd 0.500 0.500 0.000



A relaxed structure of Ca3NbCd, computed with PBE.

Results
- calculated total energy (eV/atom) = -2.60
- offset from the most stable computed form (eV per atom) = 0.000
- formation energy from the elements (eV/f.u.) = 4.0
- spin magnetization (μB per cell) = 0.0

abc: 5.587 5.587 5.587
angles: 90.00 90.00 90.00
Sites, in units of the cell vectors:
Nb 0.000 0.000 0.000
Ca 0.000 0.500 0.000
Ca 0.000 0.000 0.500
Ca 0.500 0.000 0.000
Cd 0.500 0.500 0.500



A relaxed structure of Ca2Nb2Cd, computed with PBE.

Results
- calculated total energy (eV/atom) = -4.65
- offset from the most stable computed form (eV per atom) = 0.000
- formation energy from the elements (eV/f.u.) = 1.8
- spin magnetization (μB per cell) = 0.0

abc: 3.773 3.773 9.989
angles: 79.12 79.12 90.00
Sites, in units of the cell vectors:
Nb 0.750 0.250 0.500
Nb 0.250 0.750 0.500
Ca 0.399 0.399 0.203
Ca 0.601 0.601 0.797
Cd 0.000 0.000 0.000



A relaxed structure of Ca2NbCd, computed with PBE.

Results
- calculated total energy (eV/atom) = -3.33
- offset from the most stable computed form (eV per atom) = 0.000
- formation energy from the elements (eV/f.u.) = 1.7
- spin magnetization (μB per cell) = 3.1

abc: 5.364 5.364 5.364
angles: 60.00 60.00 60.00
Sites, in units of the cell vectors:
Nb 0.000 0.000 0.000
Ca 0.250 0.250 0.250
Ca 0.750 0.750 0.750
Cd 0.500 0.500 0.500



A relaxed structure of CaNb3Cd, computed with PBE.

Results
- calculated total energy (eV/atom) = -4.54
- offset from the most stable computed form (eV per atom) = 0.427
- formation energy from the elements (eV/f.u.) = 10.4
- spin magnetization (μB per cell) = 0.0

abc: 4.799 4.799 4.799
angles: 90.00 90.00 90.00
Sites, in units of the cell vectors:
Nb 0.000 0.500 0.000
Nb 0.000 0.000 0.500
Nb 0.500 0.000 0.000
Ca 0.000 0.000 0.000
Cd 0.500 0.500 0.500



A relaxed structure of CaNbCd2, computed with PBE.

Results
- calculated total energy (eV/atom) = -2.82
- formation energy from the elements (eV/f.u.) = 2.6
- spin magnetization (μB per cell) = 5.7

abc: 4.502 4.502 11.012
angles: 78.21 78.21 90.00
Sites, in units of the cell vectors:
Nb 0.000 0.000 0.000
Nb 0.750 0.250 0.500
Ca 0.500 0.500 0.000
Ca 0.250 0.750 0.500
Cd 0.661 0.125 0.250
Cd 0.089 0.625 0.250
Cd 0.375 0.339 0.750
Cd 0.875 0.911 0.750



A relaxed structure of CaNb3Cd, computed with PBE.

Results
- calculated total energy (eV/atom) = -4.96
- offset from the most stable computed form (eV per atom) = 0.000
- formation energy from the elements (eV/f.u.) = 8.3
- spin magnetization (μB per cell) = 0.0

abc: 5.129 5.129 5.129
angles: 90.00 90.00 90.00
Sites, in units of the cell vectors:
Nb 0.000 0.500 0.000
Nb 0.000 0.000 0.500
Nb 0.500 0.000 0.000
Ca 0.500 0.500 0.500
Cd 0.000 0.000 0.000



A relaxed structure of CaNbCd3, computed with PBE.

Results
- calculated total energy (eV/atom) = -2.39
- offset from the most stable computed form (eV per atom) = 0.000
- formation energy from the elements (eV/f.u.) = 2.9
- spin magnetization (μB per cell) = 2.0

abc: 5.389 5.389 5.389
angles: 90.00 90.00 90.00
Sites, in units of the cell vectors:
Nb 0.000 0.000 0.000
Ca 0.500 0.500 0.500
Cd 0.000 0.500 0.000
Cd 0.000 0.000 0.500
Cd 0.500 0.000 0.000



A relaxed structure of CaNbCd2O6, computed with PBE.

Results
- calculated total energy (eV/atom) = -6.20
- spin magnetization (μB per cell) = 2.2
- raw formation energy (meV per atom) = -1835

abc: 5.689 5.803 8.257
angles: 90.00 89.84 90.00
Sites, in units of the cell vectors:
Ca 0.500 0.000 0.000
Ca 0.000 0.500 0.500
Nb 0.500 0.000 0.500
Nb 0.000 0.500 0.000
Cd 0.996 0.961 0.266
Cd 0.496 0.539 0.766
Cd 0.004 0.039 0.734
Cd 0.504 0.461 0.234
O 0.306 0.658 0.041
O 0.806 0.842 0.541
O 0.694 0.342 0.959
O 0.194 0.158 0.459
O 0.351 0.704 0.418
O 0.851 0.796 0.918
O 0.649 0.296 0.582
O 0.149 0.204 0.082
O 0.892 0.586 0.228
O 0.392 0.914 0.728
O 0.108 0.414 0.772
O 0.608 0.086 0.272



A relaxed structure of CaNbCdO2, computed with PBE.

Results
- calculated total energy (eV/atom) = -5.51
- spin magnetization (μB per cell) = 0.1
- raw formation energy (meV per atom) = -933

abc: 4.066 6.706 4.066
angles: 90.00 90.00 90.00
Sites, in units of the cell vectors:
Nb 0.000 0.000 0.000
Ca 0.000 0.500 0.000
O 0.000 0.000 0.500
O 0.500 0.000 0.000
Cd 0.500 0.500 0.500